# 1
# PmTm2V

A geometry-optimized PmTm2V structure (PBE-GGA, the Alexandria database).

```
data_PmTm2V
_chemical_formula_sum 'Pm1 Tm2 V1'
_cell_length_a 3.555
_cell_length_b 3.555
_cell_length_c 8.678
_cell_angle_alpha 90.00
_cell_angle_beta 90.00
_cell_angle_gamma 90.00
_symmetry_space_group_name_H-M 'P 4/m m m'
_symmetry_Int_Tables_number 123
_symmetry_space_group_name_Hall '-P 4 2'
loop_
_atom_site_label
_atom_site_fract_x
_atom_site_fract_y
_atom_site_fract_z
Pm1 0.000 0.000 0.000
Tm1 0.500 0.500 0.304
V1 0.000 0.000 0.500
```

Results
N(E_F), states/eV per cell: 3.8
E above lowest polymorph, meV per atom: 0
Formation energy, eV per atom: 0.186

# 2
# CsTl4In4

A geometry-optimized CsTl4In4 structure (PBE-GGA, the Alexandria database).

```
data_CsTl4In4
_chemical_formula_sum 'Cs2 Tl8 In8'
_cell_length_a 10.411
_cell_length_b 10.411
_cell_length_c 6.249
_cell_angle_alpha 90.00
_cell_angle_beta 90.00
_cell_angle_gamma 90.00
_symmetry_space_group_name_H-M 'P 42/n'
_symmetry_Int_Tables_number 86
loop_
_symmetry_equiv_pos_as_xyz
'x,y,z'
'-x,-y,-z'
'-y,x+1/2,z+1/2'
'y,-x+1/2,-z+1/2'
'-x+1/2,-y+1/2,z'
'x+1/2,y+1/2,-z'
'y+1/2,-x,z+1/2'
'-y+1/2,x,-z+1/2'
loop_
_atom_site_label
_atom_site_fract_x
_atom_site_fract_y
_atom_site_fract_z
Cs1 0.250 0.250 0.250
Tl1 0.107 0.607 0.116
In1 0.088 0.901 0.118
```

Results
N(E_F), states/eV per cell: 10.6
Formation energy, eV per atom: 0.040

# 3
# YSc2V

A geometry-optimized YSc2V structure (PBE-GGA, the Alexandria database).

```
data_YSc2V
_chemical_formula_sum 'Y3 Sc6 V3'
_cell_length_a 3.1434
_cell_length_b 3.1434
_cell_length_c 32.5780
_cell_angle_alpha 90.00
_cell_angle_beta 90.00
_cell_angle_gamma 120.00
_symmetry_space_group_name_H-M 'R -3 m'
_symmetry_Int_Tables_number 166
_symmetry_space_group_name_Hall '-R 3 2"'
loop_
_atom_site_label
_atom_site_fract_x
_atom_site_fract_y
_atom_site_fract_z
Y1 0.0000 0.0000 0.0000
Sc1 0.0000 0.0000 0.0986
V1 0.0000 0.0000 0.5000
```

Results
N(E_F), states/eV per cell: 21.4
E above lowest polymorph, meV per atom: 235
Formation energy, eV per atom: 0.405

# 4
# CaIn2Pd2

A geometry-optimized CaIn2Pd2 structure (PBE-GGA, the Alexandria database).

```
data_CaIn2Pd2
_chemical_formula_sum 'Ca2 In4 Pd4'
_cell_length_a 4.390
_cell_length_b 4.390
_cell_length_c 11.876
_cell_angle_alpha 90.00
_cell_angle_beta 90.00
_cell_angle_gamma 90.00
_symmetry_space_group_name_H-M 'I 4/m m m'
_symmetry_Int_Tables_number 139
_symmetry_space_group_name_Hall '-I 4 2'
loop_
_atom_site_label
_atom_site_fract_x
_atom_site_fract_y
_atom_site_fract_z
Ca1 0.000 0.000 0.000
In1 0.000 0.500 0.250
Pd1 0.000 0.000 0.389
```

Results
N(E_F), states/eV per cell: 4.8
Formation energy, eV per atom: -0.537

# 5
# Th2MnP3Ir4

A geometry-optimized Th2MnP3Ir4 structure (PBE-GGA, the Alexandria database).

```
data_Th2MnP3Ir4
_chemical_formula_sum 'Th2 Mn1 P3 Ir4'
_cell_length_a 4.102
_cell_length_b 4.102
_cell_length_c 10.134
_cell_angle_alpha 90.00
_cell_angle_beta 90.00
_cell_angle_gamma 90.00
_symmetry_space_group_name_H-M 'P -4 m 2'
_symmetry_Int_Tables_number 115
loop_
_symmetry_equiv_pos_as_xyz
'x,y,z'
'y,-x,-z'
'-x,-y,z'
'-y,x,-z'
'-x,y,z'
'-y,-x,-z'
'x,-y,z'
'y,x,-z'
loop_
_atom_site_label
_atom_site_fract_x
_atom_site_fract_y
_atom_site_fract_z
Th1 0.000 0.500 0.249
Mn1 0.000 0.000 0.500
P1 0.000 0.500 0.862
P2 0.500 0.500 0.500
Ir1 0.000 0.000 0.000
Ir2 0.000 0.500 0.630
Ir3 0.500 0.500 0.000
```

Results
N(E_F), states/eV per cell: 4.3
Formation energy, eV per atom: -0.914

# 6
# Mn2Sn2Au

A geometry-optimized Mn2Sn2Au structure (PBE-GGA, the Alexandria database).

```
data_Mn2Sn2Au
_chemical_formula_sum 'Mn4 Sn4 Au2'
_cell_length_a 7.945
_cell_length_b 7.945
_cell_length_c 3.037
_cell_angle_alpha 90.00
_cell_angle_beta 90.00
_cell_angle_gamma 90.00
_symmetry_space_group_name_H-M 'P 4/m b m'
_symmetry_Int_Tables_number 127
_symmetry_space_group_name_Hall '-P 4 2ab'
loop_
_atom_site_label
_atom_site_fract_x
_atom_site_fract_y
_atom_site_fract_z
Mn1 0.118 0.382 0.000
Sn1 0.178 0.678 0.500
Au1 0.000 0.000 0.500
```

Results
N(E_F), states/eV per cell: 9.2
E above lowest polymorph, meV per atom: 0
Formation energy, eV per atom: 0.199

# 7
# RbPaSnSe4

A geometry-optimized RbPaSnSe4 structure (PBE-GGA, the Alexandria database).

```
data_RbPaSnSe4
_chemical_formula_sum 'Rb4 Pa4 Sn4 Se16'
_cell_length_a 8.772
_cell_length_b 10.080
_cell_length_c 10.925
_cell_angle_alpha 90.00
_cell_angle_beta 90.00
_cell_angle_gamma 90.00
_symmetry_space_group_name_H-M 'I m m a'
_symmetry_Int_Tables_number 74
_symmetry_space_group_name_Hall '-I 2b 2'
loop_
_atom_site_label
_atom_site_fract_x
_atom_site_fract_y
_atom_site_fract_z
Rb1 0.000 0.250 0.193
Pa1 0.250 0.250 0.750
Sn1 0.000 0.000 0.500
Se1 0.000 0.072 0.767
Se2 0.209 0.250 0.503
```

Results
Raw formation energy, eV per formula unit: -7.56

# 8
# KNb2Hg

A geometry-optimized KNb2Hg structure (PBE-GGA, the Alexandria database).

```
data_KNb2Hg
_chemical_formula_sum 'K4 Nb8 Hg4'
_cell_length_a 4.448
_cell_length_b 4.448
_cell_length_c 22.239
_cell_angle_alpha 90.00
_cell_angle_beta 90.00
_cell_angle_gamma 90.00
_symmetry_space_group_name_H-M 'I -4 2 d'
_symmetry_Int_Tables_number 122
_symmetry_space_group_name_Hall 'I -4 2bw'
loop_
_atom_site_label
_atom_site_fract_x
_atom_site_fract_y
_atom_site_fract_z
K1 0.000 0.000 0.000
Nb1 0.113 0.750 0.625
Hg1 0.000 0.000 0.500
```

Results
N(E_F), states/eV per cell: 15.3
Formation energy, eV per atom: 1.076